First-principles (PBE with a Hubbard U) data for a relaxed LiTlVO4 crystal, as listed in the Alexandria database.

Values from the calculation:
space-group type: No. 82
magnetic moment: 0.00 μB/cell
raw total energy: -6.05 eV/atom
D(E_F): 0.510 states/eV/atom

Cell: 5.2178 5.2178 5.6607 Å, 117.44 117.44 90.00°
Last column: nearest neighbours and their distance in Å.
Fractional positions:
1 Li 0.5000 0.5000 0.0000  4 O 2.02
2 Tl 0.0000 0.0000 0.0000  4 O 2.40
3 V 0.2500 0.7500 0.5000  4 O 1.75
4 O 0.2078 0.0899 0.7354  1 V 1.75
5 O 0.3545 0.7922 0.2646  1 V 1.75
6 O 0.5276 0.6455 0.7354  1 V 1.75
7 O 0.9101 0.4724 0.2646  1 V 1.75